Density functional theory data (PBE) for a geometry-optimized Mg6In5Pd structure.

Lattice parameters (Å, degrees): 4.576 8.523 7.121 90.00 70.80 90.00
Element x y z (fractional)
Pd  0.000  0.000  0.000
In  0.656  0.000  0.692
In  0.670  0.500  0.659
In  0.000  0.500  0.000
In  0.330  0.500  0.341
In  0.344  0.000  0.308
Mg  0.500  0.243  0.000
Mg  0.163  0.231  0.679
Mg  0.163  0.769  0.679
Mg  0.837  0.231  0.321
Mg  0.500  0.757  0.000
Mg  0.837  0.769  0.321

ΔH_f (0 K) in eV per atom: -0.181
Total magnetization in μB per formula unit: 0.00
Energy in eV per atom: -2.552